Entry 1:
The following is a GGA-PBE calculation of crystalline LiAlC at its relaxed geometry, from the Alexandria database.

Calculated values
Mass density   1.7 g cm⁻³
Crystal system   tetragonal
ΔH_f (0 K)   0.412 eV per atom

```
12
Lattice="-9.117 -0.144 -0.237 0.222 -8.455 -3.416 -4.487 -5.106 0.168" Properties=species:S:1:pos:R:3 pbc="T T T"
C -2.653 -0.042 -0.069
C -6.464 -0.102 -0.168
C 0.065 -2.460 -0.994
C 0.157 -5.994 -2.422
Al -7.513 -7.263 -3.085
Al -1.382 -1.336 -0.567
Al -1.229 -7.164 -2.922
Al -7.666 -1.435 -0.731
Li -7.728 -4.351 -1.912
Li -1.167 -4.247 -1.741
Li -4.368 -7.341 -3.055
Li -4.527 -1.257 -0.597
```



Entry 2:
The following is a GGA-PBE calculation of crystalline Sm4Er8Sc3 at its relaxed geometry, from the Alexandria database.

Calculated values
Mass density   7.3 g cm⁻³
Crystal system   monoclinic
ΔH_f (0 K)   0.374 eV per atom

```
15
Lattice="6.623 -0.093 -0.134 -3.156 8.427 1.168 -3.156 -1.830 8.309" Properties=species:S:1:pos:R:3 pbc="T T T"
Sm 3.311 -0.047 -0.067
Sm -1.578 4.214 0.584
Sm 0.000 0.000 0.000
Sm -1.578 -0.915 4.154
Er 1.737 1.744 2.505
Er -3.156 4.755 3.725
Er -1.678 1.834 2.635
Er 0.155 5.712 2.959
Er 0.155 0.792 6.384
Er 1.988 4.670 6.709
Er -3.156 1.843 5.752
Er -1.427 4.760 6.838
Sc 1.733 4.167 0.517
Sc 1.733 -0.962 4.088
Sc 0.155 3.252 4.672
```



Entry 3:
The following is a GGA-PBE calculation of crystalline ZnGeBr3 at its relaxed geometry, from the Alexandria database.

Calculated values
Mass density   4.0 g cm⁻³
Crystal system   cubic
Energy above the lowest structure with this stoichiometry   0 meV per atom
Formation energy from raw total energies   -0.1472 eV per atom

```
5
Lattice="5.384 0.000 0.000 0.000 5.384 0.000 0.000 0.000 5.384" Properties=species:S:1:pos:R:3 pbc="T T T"
Ge 0.000 0.000 0.000
Zn 2.692 2.692 2.692
Br 0.000 2.692 0.000
Br 0.000 0.000 2.692
Br 2.692 0.000 0.000
```



Entry 4:
The following is a GGA-PBE calculation of crystalline Sr3Si at its relaxed geometry, from the Alexandria database.

Calculated values
Mass density   3.5 g cm⁻³
Crystal system   cubic
Energy above the lowest structure with this stoichiometry   130 meV per atom
Formation energy from raw total energies   -0.0454 eV per atom

```
4
Lattice="5.192 0.000 0.000 0.001 5.192 0.000 0.000 0.000 5.194" Properties=species:S:1:pos:R:3 pbc="T T T"
Si 0.000 0.000 0.000
Sr 0.000 2.596 2.597
Sr 2.596 0.000 2.597
Sr 2.596 2.596 0.000
```



Entry 5:
The following is a GGA-PBE calculation of crystalline ZrCoH2Se at its relaxed geometry, from the Alexandria database.

Calculated values
Mass density   5.6 g cm⁻³
DFT total energy   -5.13 eV/atom
Crystal system   tetragonal

```
5
Lattice="-1.804 -2.917 -1.314 2.901 -0.855 -2.084 1.857 -2.838 3.749" Properties=species:S:1:pos:R:3 pbc="T T T"
H 1.450 -0.428 -1.042
H -0.902 -1.458 -0.657
Co 0.000 0.000 0.000
Se 1.477 -3.305 0.176
Zr 0.928 -1.419 1.875
```



Entry 6:
The following is a GGA-PBE calculation of crystalline Sr2NpAs4Pt3 at its relaxed geometry, from the Alexandria database.

Calculated values
Mass density   9.6 g cm⁻³
Crystal system   tetragonal
ΔH_f (0 K)   -0.727 eV per atom

```
10
Lattice="4.500 0.000 0.000 0.000 4.500 0.000 0.000 0.000 11.023" Properties=species:S:1:pos:R:3 pbc="T T T"
Sr 2.250 0.000 2.494
Sr 0.000 2.250 8.529
Np 2.250 2.250 5.511
As 2.250 2.250 0.000
As 0.000 0.000 0.000
As 2.250 0.000 7.256
As 0.000 2.250 3.767
Pt 0.000 0.000 5.511
Pt 2.250 0.000 9.831
Pt 0.000 2.250 1.192
```